Record 1
Computed, not measured: a crystal of VFe2Cu3O6 relaxed with PBEsol at the meta-GGA SCAN level of DFT.

Geometry as CIF:
```
data_VFe2Cu3O6
_chemical_formula_sum 'V1 Fe2 Cu3 O6'
_space_group_name_H-M_alt 'P -3 m 1'
_space_group_IT_number 164
_space_group_name_Hall '-P 3 2"'
_cell_length_a 2.8032
_cell_length_b 2.8032
_cell_length_c 18.3262
_cell_angle_alpha 90.00
_cell_angle_beta 90.00
_cell_angle_gamma 120.00
loop_
_atom_site_label
_atom_site_fract_x
_atom_site_fract_y
_atom_site_fract_z
_atom_site_occupancy
V1 0.0000 0.0000 0.0000 1
Fe1 0.3333 0.6667 0.7310 1
Cu1 0.0000 0.0000 0.5000 1
Cu2 0.3333 0.6667 0.1641 1
O1 0.0000 0.0000 0.3070 1
O2 0.3333 0.6667 0.5545 1
O3 0.3333 0.6667 0.9385 1
```

Final energy in eV per atom: -12.23
E_form (uncorrected) in eV/f.u.: -10.05

Record 2
Computed, not measured: a crystal of ZnFe4CuO8 relaxed with PBEsol at the meta-GGA SCAN level of DFT.

Geometry as CIF:
```
data_ZnFe4CuO8
_chemical_formula_sum 'Zn3 Fe12 Cu3 O24'
_space_group_name_H-M_alt 'R 3 m'
_space_group_IT_number 160
_space_group_name_Hall 'R 3 -2"'
_cell_length_a 5.6728
_cell_length_b 5.6728
_cell_length_c 14.4384
_cell_angle_alpha 90.00
_cell_angle_beta 90.00
_cell_angle_gamma 120.00
loop_
_atom_site_label
_atom_site_fract_x
_atom_site_fract_y
_atom_site_fract_z
_atom_site_occupancy
Zn1 0.0000 0.0000 0.0000 1
Fe1 0.0000 0.0000 0.2480 1
Fe2 0.0040 0.5020 0.1251 1
Cu1 0.0000 0.0000 0.6270 1
O1 0.0000 0.0000 0.3838 1
O2 0.0000 0.0000 0.8621 1
O3 0.0268 0.5134 0.3880 1
O4 0.1781 0.3562 0.1996 1
```

Final energy in eV per atom: -12.25
E_form (uncorrected) in eV/f.u.: -20.40

Record 3
Computed, not measured: a crystal of Fe2CuOs relaxed with PBEsol at the meta-GGA SCAN level of DFT.

Geometry as CIF:
```
data_Fe2CuOs
_chemical_formula_sum 'Fe4 Cu2 Os2'
_space_group_name_H-M_alt 'C m m 2'
_space_group_IT_number 35
_cell_length_a 2.813
_cell_length_b 4.222
_cell_length_c 8.255
_cell_angle_alpha 90.00
_cell_angle_beta 90.00
_cell_angle_gamma 90.00
loop_
_space_group_symop_operation_xyz
'x,y,z'
'-x,-y,z'
'-x,y,z'
'x,-y,z'
'x+1/2,y+1/2,z'
'-x+1/2,-y+1/2,z'
'-x+1/2,y+1/2,z'
'x+1/2,-y+1/2,z'
loop_
_atom_site_label
_atom_site_fract_x
_atom_site_fract_y
_atom_site_fract_z
_atom_site_occupancy
Fe1 0.000 0.000 0.000 1
Fe2 0.000 0.500 0.232 1
Cu1 0.000 0.000 0.478 1
Os1 0.000 0.500 0.745 1
```

Final energy in eV per atom: -30.64
Formation enthalpy at 0 K in meV/atom: 193
Energy relative to the lowest polymorph listed for this composition in meV per atom: 29